First-principles (PBE) data for La3ThO after structural relaxation, as listed in Alexandria.

Cell lengths 5.160, 5.160, 5.160 Å; angles 90.00, 90.00, 90.00 degrees
Fractional positions:
La (0.000, 0.000, 0.500)
La (0.500, 0.000, 0.000)
La (0.000, 0.500, 0.000)
O (0.000, 0.000, 0.000)
Th (0.500, 0.500, 0.500)

Computed properties:
Total magnetic moment   0.00 μB per atom
Crystal system   cubic
Formation energy without anion corrections   -1.092 eV/atom